Entry from OQMD via LeMat-Bulk: crystalline CsPrZnSe3 at its relaxed geometry (GGA-PBE).

Cell: 9.490 4.316 10.736 Å, 90.00 110.51 90.00°
Fractional positions:
Cs 0.240 0.250 0.272
Cs 0.760 0.750 0.728
Pr 0.318 0.750 0.863
Pr 0.682 0.250 0.137
Zn 0.079 0.250 0.611
Zn 0.921 0.750 0.389
Se 0.093 0.250 0.843
Se 0.193 0.750 0.550
Se 0.471 0.750 0.152
Se 0.529 0.250 0.848
Se 0.807 0.250 0.450
Se 0.907 0.750 0.157

## Properties
- space group = P2_1/m, No. 11
- magnetic moment (μB/cell) = 0.00
- calculated total energy (eV per cell) = -51.28